(1)
The following is a DFT calculation (GGA-PBE) of a relaxed AgHgRh crystal.

Calculated values
offset from the most stable computed form = 3.4 meV/atom
total magnetization = 0.007 μB per formula unit

a b c (Å): 6.1163 6.1163 6.1163
angles (deg): 151.19 151.19 41.20
Last column: nearest neighbours and their distance in Å.
Fractional positions:
Ag  0.0073  0.0073  0.0000  4 Rh 2.82, 4 Hg 2.99, 4 Ag 3.04
Hg  0.3264  0.3264  0.0000  4 Rh 2.83, 4 Ag 2.99, 4 Hg 3.04
Rh  0.6663  0.6663  0.0000  4 Ag 2.82, 4 Hg 2.83, 4 Rh 3.04

(2)
The following is a DFT calculation (GGA-PBE) of a relaxed AgHg4Rh crystal.

Calculated values
DFT total energy = -1.41 eV/atom
total magnetization = 0.000 μB per formula unit

a b c (Å): 5.6672 5.6672 5.6672
angles (deg): 60.00 60.00 60.00
Last column: nearest neighbours and their distance in Å.
Fractional positions:
Ag  0.0000  0.0000  0.0000  12 Hg 3.32, 4 Rh 3.47
Hg  0.8744  0.3752  0.3752  6 Hg 2.83-2.84
Hg  0.3752  0.3752  0.8744  6 Hg 2.83-2.84
Hg  0.3752  0.8744  0.3752  6 Hg 2.83-2.84
Hg  0.3752  0.3752  0.3752  6 Hg 2.83-2.84
Rh  0.7500  0.7500  0.7500  12 Hg 3.32, 4 Ag 3.47

(3)
The following is a DFT calculation (GGA-PBE) of a relaxed Ag2HgRhS crystal.

Calculated values
total magnetization = 0.000 μB per formula unit
formation energy (no corrections) = 0.261 eV/atom

a b c (Å): 4.8818 4.3932 4.8818
angles (deg): 90.00 90.00 90.00
Last column: nearest neighbours and their distance in Å.
Fractional positions:
S  0.0000  0.0000  0.0000  2 Rh 2.20, 4 Ag 2.44
Rh  0.0000  0.5000  0.0000  2 S 2.20
Hg  0.5000  0.5000  0.5000  8 Ag 3.28, 4 Rh 3.45
Ag  0.0000  0.0000  0.5000  2 S 2.44
Ag  0.5000  0.0000  0.0000  2 S 2.44

(4)
The following is a DFT calculation (GGA-PBE) of a relaxed ScAgHgRh crystal.

Calculated values
DFT total energy = -4.53 eV/atom
total magnetization = 0.000 μB per formula unit

a b c (Å): 4.6850 4.6850 4.6850
angles (deg): 60.00 60.00 60.00
Last column: nearest neighbours and their distance in Å.
Fractional positions:
Sc  0.2500  0.2500  0.2500  4 Rh 2.87, 4 Ag 2.87
Rh  0.0000  0.0000  0.0000  4 Hg 2.87, 4 Sc 2.87
Hg  0.7500  0.7500  0.7500  4 Rh 2.87, 4 Ag 2.87
Ag  0.5000  0.5000  0.5000  4 Hg 2.87, 4 Sc 2.87

(5)
The following is a DFT calculation (GGA-PBE) of a relaxed Sm5AgHg2Rh2 crystal.

Calculated values
DFT total energy = -4.65 eV/atom
total magnetization = 0.000 μB per formula unit

a b c (Å): 3.7474 11.8289 11.8289
angles (deg): 90.00 90.00 90.00
Last column: nearest neighbours and their distance in Å.
Fractional positions:
Sm  0.5000  0.2002  0.0854  2 Rh 2.79
Sm  0.5000  0.7998  0.9146  2 Rh 2.79
Sm  0.5000  0.0854  0.7998  2 Rh 2.79
Sm  0.5000  0.7002  0.4146  2 Rh 2.79
Sm  0.5000  0.9146  0.2002  2 Rh 2.79
Sm  0.5000  0.2998  0.5854  2 Rh 2.79
Sm  0.5000  0.5854  0.7002  2 Rh 2.79
Sm  0.5000  0.4146  0.2998  2 Rh 2.79
Sm  0.5000  0.5000  0.0000  4 Rh 2.88
Sm  0.5000  0.0000  0.5000  4 Rh 2.88
Ag  0.0000  0.0000  0.0000  8 Sm 3.18
Ag  0.0000  0.5000  0.5000  8 Sm 3.18
Hg  0.0000  0.6721  0.1721  3 Rh 3.30-3.62, 6 Sm 3.43-3.44
Hg  0.0000  0.3279  0.8279  3 Rh 3.30-3.62, 6 Sm 3.43-3.44
Hg  0.0000  0.1721  0.3279  3 Rh 3.30-3.62, 6 Sm 3.43-3.44
Hg  0.0000  0.8279  0.6721  3 Rh 3.30-3.62, 6 Sm 3.43-3.44
Rh  0.0000  0.1309  0.6309  6 Sm 2.79-2.88
Rh  0.0000  0.8691  0.3691  6 Sm 2.79-2.88
Rh  0.0000  0.6309  0.8691  6 Sm 2.79-2.88
Rh  0.0000  0.3691  0.1309  6 Sm 2.79-2.88

(6)
The following is a DFT calculation (GGA-PBE) of a relaxed Sm2AgHgRh crystal.

Calculated values
DFT total energy = -4.47 eV/atom
total magnetization = 0.000 μB per formula unit

a b c (Å): 4.0369 8.2145 8.0989
angles (deg): 113.44 90.00 90.00
Last column: nearest neighbours and their distance in Å.
Fractional positions:
Sm  0.7500  0.8708  0.6467  2 Rh 2.85
Sm  0.7500  0.7052  0.9987  3 Rh 2.86-3.02
Sm  0.2500  0.1292  0.3533  2 Rh 2.85
Sm  0.2500  0.2948  0.0013  3 Rh 2.86-3.02
Ag  0.2500  0.5494  0.6438  1 Rh 2.81, 2 Ag 2.94, 2 Hg 3.03
Ag  0.7500  0.4506  0.3562  1 Rh 2.81, 2 Ag 2.94, 2 Hg 3.03
Hg  0.2500  0.7043  0.3091  2 Ag 3.03, 6 Sm 3.23-3.36
Hg  0.7500  0.2957  0.6909  2 Ag 3.03, 6 Sm 3.23-3.36
Rh  0.2500  0.8994  0.9045  2 Rh 2.68, 1 Ag 2.81, 4 Sm 2.85-2.86
Rh  0.7500  0.1006  0.0955  2 Rh 2.68, 1 Ag 2.81, 4 Sm 2.85-2.86